1.
Entry from Alexandria: a relaxed Co3P crystal (PBE).

Summary:
Space group ... R-3m
V ... 43.8 Å³/cell
Total moment ... 3.28 μB per formula unit
Energy above the lowest structure with this stoichiometry ... 0.314 eV per atom
Calculated formation energy ... -30 meV per atom

abc: 7.621 7.621 7.621
angles: 19.65 19.65 19.65
Fractional coordinates of all 4 atoms:
Co1 0.000 0.000 0.000
Co2 0.244 0.244 0.244
Co3 0.756 0.756 0.756
P1 0.500 0.500 0.500

2.
Entry from Alexandria: a relaxed Nd2Sm2Dy5 crystal (PBE).

Summary:
Space group ... C2/m
V ... 310.8 Å³/cell
Total moment ... 0.00 μB per formula unit
Energy above the lowest structure with this stoichiometry ... 0.033 eV per atom
Calculated formation energy ... 238 meV per atom

abc: 10.973 10.973 8.306
angles: 99.61 99.61 18.38
Fractional coordinates of all 9 atoms:
Nd1 0.185 0.185 0.146
Nd2 0.815 0.815 0.854
Sm1 0.453 0.453 0.645
Sm2 0.547 0.547 0.355
Dy1 0.000 0.000 0.000
Dy2 0.099 0.099 0.739
Dy3 0.310 0.310 0.474
Dy4 0.690 0.690 0.526
Dy5 0.901 0.901 0.261